FeB2RuRh: relaxed, PBE.

extended XYZ file:
```
5
Lattice="3.897 0.000 0.000 0.000 4.723 0.000 0.000 0.000 3.897" Properties=species:S:1:pos:R:3 pbc="T T T"
Ru 1.949 2.362 1.949
B 0.000 0.000 1.949
B 1.949 0.000 0.000
Rh 0.000 0.000 0.000
Fe 0.000 2.362 0.000
```

## Properties
The calculation puts the energy of formation from the pure elements at 1265 meV/atom. The value obtained for the size of the total moment is 4.6 μB/f.u. The calculation puts the density of states at the Fermi level at 1.1354 states/eV/atom.